A geometry-optimized TiCu4Pd7 structure. Source: Alexandria, functional PBE.

Values from the calculation:
uncorrected energy: -5.274 eV/atom
symmetry: P-3m1, No. 164
D(E_F): 6.5 states/eV per cell

Lattice parameters (Å, degrees): 4.334 4.334 10.628 90.00 90.00 120.00
Element x y z (fractional)
Pd 0.333 0.667 0.418
Pd 0.000 0.000 0.737
Pd 0.000 0.000 0.000
Cu 0.333 0.667 0.671
Pd 0.000 0.000 0.263
Pd 0.667 0.333 0.582
Pd 0.333 0.667 0.152
Cu 0.667 0.333 0.091
Pd 0.667 0.333 0.848
Cu 0.667 0.333 0.329
Cu 0.333 0.667 0.909
Ti 0.000 0.000 0.500